# Ac3Ga2Pd6Pt

A geometry-optimized Ac3Ga2Pd6Pt structure (PBE, Alexandria).

Summary:
- total DFT energy (no corrections) (eV/atom) = -5.328
- mass density (g cm⁻³) = 10.12
- space-group type = P-3m1, No. 164

a b c (Å): 5.728 5.728 9.555
angles (deg): 90.00 90.00 120.00
Sites, in units of the cell vectors:
Pd 0.662 0.831 0.271
Pd 0.169 0.831 0.271
Pd 0.169 0.338 0.271
Pd 0.338 0.169 0.729
Pd 0.831 0.662 0.729
Pd 0.831 0.169 0.729
Ac 0.333 0.667 0.605
Ac 0.667 0.333 0.395
Ac 0.000 0.000 0.000
Pt 0.000 0.000 0.500
Ga 0.667 0.333 0.942
Ga 0.333 0.667 0.058